[1]
A plane-wave DFT calculation with PBE-GGA was carried out for a geometry-optimized RbScCuI6 structure.

```
RbScCuI6
1.0
7.271 0.000 0.000
-2.747 6.846 0.000
-0.943 -0.886 7.895
Rb Sc Cu I
1 1 1 6
Direct
0.000 0.000 0.000 Rb
0.405 0.650 0.512 Sc
0.786 0.345 0.449 Cu
0.059 0.601 0.267 I
0.104 0.321 0.641 I
0.427 0.923 0.774 I
0.478 0.386 0.253 I
0.656 0.961 0.329 I
0.705 0.544 0.707 I
```

## Properties
Crystal system: triclinic
SG: P1
Total magnetization (μB per formula unit): 0.87
Formation energy without anion corrections (eV per atom): -0.877
Mass density (g/cm³): 4.04

[2]
A plane-wave DFT calculation with PBE-GGA was carried out for a geometry-optimized Rb2CuSeI6 structure.

```
Rb2CuSeI6
1.0
-4.102 4.102 5.918
4.102 -4.102 5.918
4.102 4.102 -5.918
Rb Cu Se I
2 1 1 6
Direct
0.250 0.750 0.500 Rb
0.750 0.250 0.500 Rb
0.000 0.000 0.000 Cu
0.500 0.500 0.000 Se
0.218 0.218 0.000 I
0.255 0.255 0.509 I
0.255 0.745 0.000 I
0.745 0.255 0.000 I
0.745 0.745 0.491 I
0.782 0.782 0.000 I
```

## Properties
Crystal system: tetragonal
SG: I4/mmm
Total magnetization (μB per formula unit): 0.00
Formation energy without anion corrections (eV per atom): -0.587
Mass density (g/cm³): 4.48

[3]
A plane-wave DFT calculation with PBE-GGA was carried out for a geometry-optimized Rb2CuSeI structure.

```
Rb2CuSeI
1.0
6.745 0.000 0.000
0.000 6.745 0.000
0.000 0.000 4.495
Rb Cu Se I
2 1 1 1
Direct
0.000 0.500 0.000 Rb
0.500 0.000 0.000 Rb
0.000 0.000 0.500 Cu
0.000 0.000 0.000 Se
0.500 0.500 0.500 I
```

## Properties
Crystal system: tetragonal
SG: P4/mmm
Total magnetization (μB per formula unit): 0.00
Formation energy without anion corrections (eV per atom): -0.885
Mass density (g/cm³): 3.58

[4]
A plane-wave DFT calculation with PBE-GGA was carried out for a geometry-optimized Rb2CuSiI6 structure.

```
Rb2CuSiI6
1.0
-4.016 4.016 5.713
4.016 -4.016 5.713
4.016 4.016 -5.713
Rb Cu Si I
2 1 1 6
Direct
0.250 0.750 0.500 Rb
0.750 0.250 0.500 Rb
0.000 0.000 0.000 Cu
0.500 0.500 0.000 Si
0.250 0.250 0.500 I
0.250 0.750 0.000 I
0.251 0.251 0.000 I
0.749 0.749 0.000 I
0.750 0.250 0.000 I
0.750 0.750 0.500 I
```

## Properties
Crystal system: tetragonal
SG: I4/mmm
Total magnetization (μB per formula unit): 0.00
Formation energy without anion corrections (eV per atom): -0.633
Mass density (g/cm³): 4.61

mass density of number 2 (Rb2CuSeI6)?
4.48 g/cm³

Which value of total magnetization does entry 2 give?
0.00 μB per formula unit

Among the records above, which one has the highest total magnetization?
RbScCuI6